Record 1
This record from Alexandria describes an optimized crystal structure of ZrMn2Te. The functional is PBE-GGA.

Unit cell a=4.672 b=4.672 c=4.672 alpha=60.00 beta=60.00 gamma=60.00
Positions (direct):
Mn1 0.250 0.250 0.250
Mn2 0.000 0.000 0.000
Te1 0.500 0.500 0.500
Zr1 0.750 0.750 0.750

## Properties
Total energy, eV per atom: -7.305
Uncorrected formation energy, eV per atom: 0.202
Magnetic moment, μB/f.u.: 5.64

Record 2
This record from Alexandria describes an optimized crystal structure of BaSb2PAu. The functional is PBE-GGA.

Unit cell a=5.287 b=6.204 c=5.287 alpha=90.00 beta=90.00 gamma=90.00
Positions (direct):
P1 0.500 0.500 0.500
Ba1 0.000 0.500 0.000
Sb1 0.000 0.000 0.500
Sb2 0.500 0.000 0.000
Au1 0.000 0.000 0.000

## Properties
Total energy, eV per atom: -3.496
Uncorrected formation energy, eV per atom: 0.275
Magnetic moment, μB/f.u.: 0.00

Record 3
This record from Alexandria describes an optimized crystal structure of AcPmH6Ir2. The functional is PBE-GGA.

Unit cell a=6.315 b=6.315 c=6.731 alpha=103.24 beta=103.24 gamma=102.73
Positions (direct):
H1 0.696 0.461 0.624
H2 0.539 0.304 0.876
H3 0.304 0.539 0.376
H4 0.081 0.571 0.884
H5 0.571 0.081 0.384
H6 0.429 0.919 0.616
H7 0.919 0.429 0.116
H8 0.837 0.773 0.488
H9 0.163 0.227 0.512
H10 0.461 0.696 0.124
H11 0.227 0.163 0.012
H12 0.773 0.837 0.988
Ir1 0.947 0.668 0.686
Ir2 0.332 0.053 0.814
Ir3 0.668 0.947 0.186
Ir4 0.053 0.332 0.314
Ac1 0.145 0.855 0.250
Ac2 0.855 0.145 0.750
Pm1 0.408 0.592 0.750
Pm2 0.592 0.408 0.250

## Properties
Total energy, eV per atom: -5.208
Magnetic moment, μB/f.u.: 0.00

Record 4
This record from Alexandria describes an optimized crystal structure of NbZn2As2. The functional is PBE-GGA.

Unit cell a=3.465 b=3.465 c=8.097 alpha=77.64 beta=77.64 gamma=90.00
Positions (direct):
Zn1 0.250 0.750 0.500
Zn2 0.750 0.250 0.500
As1 0.587 0.587 0.826
As2 0.413 0.413 0.174
Nb1 0.000 0.000 0.000

## Properties
Total energy, eV per atom: -4.357
Magnetic moment, μB/f.u.: 0.27
Formation enthalpy at 0 K, eV per atom: 0.026

Record 5
This record from Alexandria describes an optimized crystal structure of KGa3Tc. The functional is PBE-GGA.

Unit cell a=9.747 b=9.747 c=4.880 alpha=90.00 beta=90.00 gamma=150.90
Positions (direct):
Ga1 0.000 0.000 0.000
Ga2 0.372 0.153 0.750
Ga3 0.000 0.000 0.500
Ga4 0.153 0.372 0.250
Ga5 0.847 0.628 0.750
Ga6 0.628 0.847 0.250
K1 0.203 0.797 0.250
K2 0.797 0.203 0.750
Tc1 0.473 0.527 0.750
Tc2 0.527 0.473 0.250

## Properties
Total energy, eV per atom: -4.005
Magnetic moment, μB/f.u.: 0.00
Energy above the lowest structure with this stoichiometry, kJ/mol of formula units: 135.1
Formation enthalpy at 0 K, eV per atom: 0.104

Record 6
This record from Alexandria describes an optimized crystal structure of Yb3Ni7B2. The functional is PBE-GGA.

Unit cell a=5.168 b=5.168 c=7.199 alpha=90.00 beta=90.00 gamma=120.00
Positions (direct):
Ni1 0.991 0.496 0.689
Ni2 0.991 0.496 0.311
Ni3 0.667 0.333 0.000
Ni4 0.504 0.009 0.311
Ni5 0.504 0.496 0.689
Ni6 0.504 0.009 0.689
Ni7 0.504 0.496 0.311
Yb1 0.333 0.667 0.000
Yb2 0.000 0.000 0.000
Yb3 0.000 0.000 0.500
B1 0.333 0.667 0.500
B2 0.667 0.333 0.500

## Properties
Total energy, eV per atom: -5.190
Magnetic moment, μB/f.u.: 0.84
Formation enthalpy at 0 K, eV per atom: -0.323

Record 7
This record from Alexandria describes an optimized crystal structure of Nd3AlSb. The functional is PBE-GGA.

Unit cell a=4.241 b=8.446 c=8.797 alpha=93.68 beta=89.99 gamma=104.50
Positions (direct):
Nd1 0.068 0.169 0.403
Nd2 0.976 0.985 0.018
Nd3 0.617 0.266 0.770
Nd4 0.782 0.597 0.397
Nd5 0.427 0.889 0.651
Nd6 0.262 0.557 0.025
Sb1 0.415 0.863 0.280
Sb2 0.629 0.291 0.141
Al1 0.234 0.500 0.644
Al2 0.810 0.654 0.778

## Properties
Total energy, eV per atom: -5.019
Uncorrected formation energy, eV per atom: -0.585
Magnetic moment, μB/f.u.: 0.40

Record 8
This record from Alexandria describes an optimized crystal structure of Ho2PaTc. The functional is PBE-GGA.

Unit cell a=6.250 b=7.076 c=9.604 alpha=90.00 beta=90.00 gamma=90.00
Positions (direct):
Tc1 0.997 0.637 0.750
Tc2 0.503 0.137 0.750
Tc3 0.497 0.863 0.250
Tc4 0.003 0.363 0.250
Ho1 0.670 0.824 0.937
Ho2 0.830 0.324 0.563
Ho3 0.170 0.676 0.437
Ho4 0.670 0.824 0.563
Ho5 0.830 0.324 0.937
Ho6 0.330 0.176 0.437
Ho7 0.330 0.176 0.063
Ho8 0.170 0.676 0.063
Pa1 0.159 0.950 0.750
Pa2 0.659 0.550 0.250
Pa3 0.341 0.450 0.750
Pa4 0.841 0.050 0.250

## Properties
Total energy, eV per atom: -7.438
Magnetic moment, μB/f.u.: 0.00
Energy above the lowest structure with this stoichiometry, kJ/mol of formula units: 0.0
Formation enthalpy at 0 K, eV per atom: -0.184

Record 9
This record from Alexandria describes an optimized crystal structure of La3GaAg2. The functional is PBE-GGA.

Unit cell a=3.814 b=3.814 c=11.378 alpha=90.00 beta=90.00 gamma=90.00
Positions (direct):
Ag1 0.500 0.500 0.169
Ag2 0.500 0.500 0.831
Ga1 0.500 0.500 0.500
La1 0.000 0.000 0.341
La2 0.000 0.000 0.000
La3 0.000 0.000 0.659

## Properties
Total energy, eV per atom: -4.287
Magnetic moment, μB/f.u.: 0.19
Energy above the lowest structure with this stoichiometry, kJ/mol of formula units: 0.0
Formation enthalpy at 0 K, eV per atom: -0.368

Record 10
This record from Alexandria describes an optimized crystal structure of NaAl2VPb. The functional is PBE-GGA.

Unit cell a=4.937 b=5.201 c=4.937 alpha=90.00 beta=90.00 gamma=90.00
Positions (direct):
Al1 0.000 0.000 0.500
Al2 0.500 0.000 0.000
V1 0.000 0.000 0.000
Na1 0.500 0.500 0.500
Pb1 0.000 0.500 0.000

## Properties
Total energy, eV per atom: -3.990
Magnetic moment, μB/f.u.: 0.00
Formation enthalpy at 0 K, eV per atom: 0.336

Record 11
This record from Alexandria describes an optimized crystal structure of LaSb. The functional is PBE-GGA.

Unit cell a=6.641 b=6.640 c=6.641 alpha=139.13 beta=139.14 gamma=59.15
Positions (direct):
Sb1 0.875 0.125 0.250
Sb2 0.125 0.875 0.750
La1 0.375 0.625 0.250
La2 0.625 0.375 0.750

## Properties
Total energy, eV per atom: -5.519
Uncorrected formation energy, eV per atom: -0.994
Magnetic moment, μB/f.u.: 0.00

Record 12
This record from Alexandria describes an optimized crystal structure of Li2PmDySi2. The functional is PBE-GGA.

Unit cell a=4.411 b=4.411 c=7.278 alpha=90.00 beta=90.00 gamma=120.00
Positions (direct):
Dy1 0.000 0.000 0.500
Pm1 0.000 0.000 0.000
Si1 0.667 0.333 0.740
Si2 0.333 0.667 0.260
Li1 0.333 0.667 0.726
Li2 0.667 0.333 0.274

## Properties
Total energy, eV per atom: -4.563
Uncorrected formation energy, eV per atom: -0.559
Magnetic moment, μB/f.u.: 0.00

Look up the magnetic moment of the eleventh one.
0.00 μB/f.u.

What did the twelfth record say?
This record from Alexandria describes an optimized crystal structure of Li2PmDySi2. The functional is PBE-GGA.

Unit cell a=4.411 b=4.411 c=7.278 alpha=90.00 beta=90.00 gamma=120.00
Positions (direct):
Dy1 0.000 0.000 0.500
Pm1 0.000 0.000 0.000
Si1 0.667 0.333 0.740
Si2 0.333 0.667 0.260
Li1 0.333 0.667 0.726
Li2 0.667 0.333 0.274

## Properties
Total energy, eV per atom: -4.563
Uncorrected formation energy, eV per atom: -0.559
Magnetic moment, μB/f.u.: 0.00

Among the records above, which one has the highest magnetic moment?
ZrMn2Te